1.
Below is a relaxed structure of Tb11In9Cu4, with properties calculated at the GGA-PBE level.

Values from the calculation:
Density of states at the Fermi level, states/eV/cell: 15.35
Energy relative to the elements, eV/atom: -0.444
Space group: Cmmm

Lattice parameters (Å, degrees): 3.7210 13.1338 13.1338 112.74 90.00 90.00
Fractional coordinates of all 24 atoms:
1 Tb 0.0000 0.5852 0.9274
2 Tb 0.0000 0.4148 0.0726
3 Tb 0.0000 0.9274 0.5852
4 Tb 0.0000 0.0726 0.4148
5 Tb 0.0000 0.6277 0.3723
6 Tb 0.0000 0.3723 0.6277
7 Tb 0.0000 0.8387 0.1613
8 Tb 0.0000 0.1613 0.8387
9 Tb 0.0000 0.0000 0.0000
10 Tb 0.0000 0.6918 0.6918
11 Tb 0.0000 0.3082 0.3082
12 In 0.5000 0.6314 0.1577
13 In 0.5000 0.3686 0.8423
14 In 0.5000 0.1577 0.6314
15 In 0.5000 0.8423 0.3686
16 In 0.5000 0.7819 0.9258
17 In 0.5000 0.2181 0.0742
18 In 0.5000 0.9258 0.7819
19 In 0.5000 0.0742 0.2181
20 In 0.5000 0.5000 0.5000
21 Cu 0.5000 0.5504 0.7502
22 Cu 0.5000 0.4496 0.2498
23 Cu 0.5000 0.7502 0.5504
24 Cu 0.5000 0.2498 0.4496



2.
Below is a relaxed structure of Tb12InCu5, with properties calculated at the GGA-PBE level.

Values from the calculation:
Density of states at the Fermi level, states/eV/cell: 18.23
Energy relative to the elements, eV/atom: -0.190
Space group: Immm

Lattice parameters (Å, degrees): 8.4812 8.4812 8.4812 105.89 112.25 110.34
Fractional coordinates of all 18 atoms:
1 Tb 0.5404 0.8198 0.7207
2 Tb 0.4596 0.1802 0.2793
3 Tb 0.9009 0.1802 0.7207
4 Tb 0.0991 0.8198 0.2793
5 Tb 0.6959 0.6788 0.3747
6 Tb 0.3041 0.3212 0.6253
7 Tb 0.3041 0.6788 0.9830
8 Tb 0.6959 0.3212 0.0170
9 Tb 0.8104 0.5792 0.7688
10 Tb 0.1896 0.4208 0.2312
11 Tb 0.1896 0.9584 0.7688
12 Tb 0.8104 0.0416 0.2312
13 In 0.0000 0.5000 0.5000
14 Cu 0.6450 0.6450 0.0000
15 Cu 0.3550 0.3550 0.0000
16 Cu 0.5000 0.1198 0.6198
17 Cu 0.5000 0.8802 0.3802
18 Cu 0.0000 0.0000 0.0000



3.
Below is a relaxed structure of Tb2InCu, with properties calculated at the GGA-PBE level.

Values from the calculation:
Density of states at the Fermi level, states/eV/cell: 3.26
Energy relative to the elements, eV/atom: -0.352
Space group: P4/mmm

Lattice parameters (Å, degrees): 3.5367 3.5367 7.7039 90.00 90.00 90.00
Fractional coordinates of all 4 atoms:
1 Tb 0.0000 0.0000 0.7768
2 Tb 0.0000 0.0000 0.2232
3 Cu 0.5000 0.5000 0.0000
4 In 0.5000 0.5000 0.5000



4.
Below is a relaxed structure of Tb12InCu6, with properties calculated at the GGA-PBE level.

Values from the calculation:
Density of states at the Fermi level, states/eV/cell: 14.43
Energy relative to the elements, eV/atom: -0.196
Space group: Im-3

Lattice parameters (Å, degrees): 8.5826 8.5826 8.5826 109.47 109.47 109.47
Fractional coordinates of all 19 atoms:
1 Tb 0.2977 0.1092 0.8115
2 Tb 0.2977 0.4862 0.1885
3 Tb 0.7023 0.5138 0.8115
4 Tb 0.7023 0.8908 0.1885
5 Tb 0.1092 0.8115 0.2977
6 Tb 0.4862 0.1885 0.2977
7 Tb 0.5138 0.8115 0.7023
8 Tb 0.8908 0.1885 0.7023
9 Tb 0.8115 0.2977 0.1092
10 Tb 0.1885 0.2977 0.4862
11 Tb 0.8115 0.7023 0.5138
12 Tb 0.1885 0.7023 0.8908
13 In 0.0000 0.0000 0.0000
14 Cu 0.3763 0.5000 0.8763
15 Cu 0.6237 0.5000 0.1237
16 Cu 0.5000 0.8763 0.3763
17 Cu 0.5000 0.1237 0.6237
18 Cu 0.8763 0.3763 0.5000
19 Cu 0.1237 0.6237 0.5000



5.
Below is a relaxed structure of TbIn4Cu4, with properties calculated at the GGA-PBE level.

Values from the calculation:
Density of states at the Fermi level, states/eV/cell: 6.97
Energy relative to the elements, eV/atom: -0.068
Space group: I4/m

Lattice parameters (Å, degrees): 4.5623 8.9859 8.9859 90.00 90.00 90.00
Fractional coordinates of all 18 atoms:
1 Tb 0.0000 0.0000 0.0000
2 Tb 0.5000 0.5000 0.5000
3 In 0.5000 0.3798 0.8540
4 In 0.0000 0.6460 0.8798
5 In 0.5000 0.6202 0.1460
6 In 0.0000 0.1202 0.6460
7 In 0.5000 0.8540 0.6202
8 In 0.0000 0.8798 0.3540
9 In 0.0000 0.3540 0.1202
10 In 0.5000 0.1460 0.3798
11 Cu 0.5000 0.9212 0.1850
12 Cu 0.5000 0.0788 0.8150
13 Cu 0.0000 0.6850 0.5788
14 Cu 0.0000 0.4212 0.6850
15 Cu 0.0000 0.5788 0.3150
16 Cu 0.5000 0.1850 0.0788
17 Cu 0.5000 0.8150 0.9212
18 Cu 0.0000 0.3150 0.4212



6.
Below is a relaxed structure of Tb8In2Cu, with properties calculated at the GGA-PBE level.

Values from the calculation:
Density of states at the Fermi level, states/eV/cell: 10.77
Energy relative to the elements, eV/atom: -0.184
Space group: C2/m

Lattice parameters (Å, degrees): 5.1610 6.7307 9.6521 102.77 105.51 90.00
Fractional coordinates of all 11 atoms:
1 Tb 0.4081 0.5417 0.8162
2 Tb 0.6484 0.9744 0.2968
3 Tb 0.7931 0.7025 0.5863
4 Tb 0.9847 0.2258 0.9694
5 Tb 0.2069 0.2975 0.4137
6 Tb 0.3516 0.0256 0.7032
7 Tb 0.5919 0.4583 0.1838
8 Tb 0.0153 0.7742 0.0306
9 In 0.8141 0.2531 0.6282
10 In 0.1859 0.7469 0.3718
11 Cu 0.5000 0.0000 0.0000



7.
Below is a relaxed structure of Tb8InCu2, with properties calculated at the GGA-PBE level.

Values from the calculation:
Density of states at the Fermi level, states/eV/cell: 16.66
Energy relative to the elements, eV/atom: -0.072
Space group: C2/m

Lattice parameters (Å, degrees): 5.3844 8.0996 8.0996 114.88 98.80 98.80
Fractional coordinates of all 11 atoms:
1 Tb 0.9164 0.9194 0.6712
2 Tb 0.9164 0.6712 0.9194
3 Tb 0.3053 0.6052 0.6052
4 Tb 0.5000 0.7585 0.2415
5 Tb 0.5000 0.2415 0.7585
6 Tb 0.6947 0.3948 0.3948
7 Tb 0.0836 0.3288 0.0806
8 Tb 0.0836 0.0806 0.3288
9 In 0.5000 0.0000 0.0000
10 Cu 0.0000 0.3073 0.6927
11 Cu 0.0000 0.6927 0.3073



8.
Below is a relaxed structure of TbInCu5, with properties calculated at the GGA-PBE level.

Values from the calculation:
Density of states at the Fermi level, states/eV/cell: 16.88
Energy relative to the elements, eV/atom: -0.221
Space group: Pnma

Lattice parameters (Å, degrees): 5.0222 8.3171 10.5443 90.00 90.00 90.00
Fractional coordinates of all 28 atoms:
1 Tb 0.2500 0.2481 0.9371
2 Tb 0.7500 0.2519 0.4371
3 Tb 0.2500 0.7481 0.5629
4 Tb 0.7500 0.7519 0.0629
5 In 0.2500 0.8626 0.8624
6 In 0.7500 0.6374 0.3624
7 In 0.2500 0.3626 0.6376
8 In 0.7500 0.1374 0.1376
9 Cu 0.2500 0.5816 0.0162
10 Cu 0.7500 0.9184 0.5162
11 Cu 0.2500 0.0816 0.4838
12 Cu 0.7500 0.4184 0.9838
13 Cu 0.7500 0.3147 0.7591
14 Cu 0.2500 0.1853 0.2591
15 Cu 0.7500 0.8147 0.7409
16 Cu 0.2500 0.6853 0.2409
17 Cu 0.2500 0.9467 0.1041
18 Cu 0.7500 0.5533 0.6041
19 Cu 0.2500 0.4467 0.3959
20 Cu 0.7500 0.0533 0.8959
21 Cu 0.9988 0.4313 0.1877
22 Cu 0.0012 0.0687 0.6877
23 Cu 0.5012 0.9313 0.3123
24 Cu 0.4988 0.5687 0.8123
25 Cu 0.0012 0.5687 0.8123
26 Cu 0.9988 0.9313 0.3123
27 Cu 0.4988 0.0687 0.6877
28 Cu 0.5012 0.4313 0.1877



Number 1: size of the total moment 0.0 μB per formula unit. Number 2: size of the total moment 0.0 μB per formula unit. Number 3: size of the total moment 0.0 μB per formula unit. Number 4: size of the total moment 0.0 μB per formula unit. Number 5: size of the total moment 0.0 μB per formula unit. Number 6: size of the total moment 0.0 μB per formula unit. Number 7: size of the total moment 0.0 μB per formula unit. Number 8: size of the total moment 0.0 μB per formula unit.